No. 1
Density functional theory data (GGA-PBE) for a relaxed Ti4Sb5H2 crystal.

For the density, the calculation gives 6.4 g/cm3. For the total energy, the calculation gives -5.52 eV per atom.

The structure belongs to space group C2/m (No. 12); the cell edges are 16.030, 3.138 and 8.372 Å and the angles 90.00°, 95.85° and 90.00°. The distinct sites, in fractional coordinates, are Ti at (0.000, 0.000, 0.201), Ti at (0.158, 0.500, 0.083), Sb at (0.000, 0.500, 0.500), Sb at (0.167, 0.000, 0.373), Sb at (0.171, 0.000, 0.806) and H at (0.042, 0.500, 0.110).



No. 2
Density functional theory data (GGA-PBE) for a relaxed CaMn2Pt crystal.

For the density, the calculation gives 8.1 g/cm3. For the total energy, the calculation gives -6.58 eV per atom. The formation energy is 0.020 eV per atom.

The structure belongs to space group P4/mmm (No. 123); the cell edges are 4.075, 4.075 and 4.275 Å and the angles 90.00°, 90.00° and 90.00°. The distinct sites, in fractional coordinates, are Ca at (0.000, 0.000, 0.000), Mn at (0.000, 0.500, 0.500) and Pt at (0.500, 0.500, 0.000).



No. 3
Density functional theory data (GGA-PBE) for a relaxed AlOsRu2 crystal.

For the density, the calculation gives 12.3 g/cm3. For the total energy, the calculation gives -8.33 eV per atom. The formation energy is 0.048 eV per atom.

The structure belongs to space group P4/mmm (No. 123); the cell edges are 3.922, 3.922 and 3.684 Å and the angles 90.00°, 90.00° and 90.00°. The distinct sites, in fractional coordinates, are Al at (0.000, 0.000, 0.000), Os at (0.500, 0.500, 0.000) and Ru at (0.000, 0.500, 0.500).



No. 4
Density functional theory data (GGA-PBE) for a relaxed Pm2SmGe crystal.

For the density, the calculation gives 6.6 g/cm3. For the total energy, the calculation gives -4.93 eV per atom. The offset from the most stable computed form is 117.8 meV/atom. The formation energy is -0.225 eV per atom.

The structure belongs to space group R3m (No. 160, hexagonal axes); the cell edges are 3.8847, 3.8847 and 29.4676 Å and the angles 90.00°, 90.00° and 120.00°. The distinct sites, in fractional coordinates, are Pm at (0.0000, 0.0000, 0.0000), Pm at (0.0000, 0.0000, 0.2035), Sm at (0.0000, 0.0000, 0.7675) and Ge at (0.0000, 0.0000, 0.6020).